# AsP2Au, optimized geometry, DFT PBE
data_AsP2Au
_cell_length_a 3.5504
_cell_length_b 3.5504
_cell_length_c 18.9984
_cell_angle_alpha 90.00
_cell_angle_beta 90.00
_cell_angle_gamma 120.00
_space_group_name_H-M_alt 'R 3 m'
_space_group_IT_number 160
_space_group_name_Hall 'R 3 -2"'
loop_
_atom_site_label
_atom_site_type_symbol
_atom_site_fract_x
_atom_site_fract_y
_atom_site_fract_z
As1 As 0.0000 0.0000 0.0000
P1 P 0.0000 0.0000 0.4860
P2 P 0.0000 0.0000 0.7472
Au1 Au 0.0000 0.0000 0.2380
# DOS(E_F): 5.49 states/eV/cell
# crystal system: trigonal
# E_form: 0.601 eV/f.u.
# raw total energy: -54.44 eV per cell

***

# Rb3YV, optimized geometry, DFT PBE
data_Rb3YV
_cell_length_a 6.796
_cell_length_b 6.796
_cell_length_c 6.796
_cell_angle_alpha 90.00
_cell_angle_beta 90.00
_cell_angle_gamma 90.00
_space_group_name_H-M_alt 'P m -3 m'
_space_group_IT_number 221
_space_group_name_Hall '-P 4 2 3'
loop_
_atom_site_label
_atom_site_type_symbol
_atom_site_fract_x
_atom_site_fract_y
_atom_site_fract_z
Rb1 Rb 0.000 0.000 0.500
Y1 Y 0.500 0.500 0.500
V1 V 0.000 0.000 0.000
# DOS(E_F): 9.99 states/eV/cell
# crystal system: cubic
# E_form: 6.707 eV/f.u.
# raw total energy: -11.78 eV per cell
# excess energy over the best structure of this formula in the dataset: 0 meV/atom

***

# Th2MnGa4Pt3, optimized geometry, DFT PBE
data_Th2MnGa4Pt3
_cell_length_a 4.227
_cell_length_b 4.227
_cell_length_c 10.762
_cell_angle_alpha 90.00
_cell_angle_beta 90.00
_cell_angle_gamma 90.00
_space_group_name_H-M_alt 'P -4 m 2'
_space_group_IT_number 115
_space_group_name_Hall 'P -4 -2'
loop_
_atom_site_label
_atom_site_type_symbol
_atom_site_fract_x
_atom_site_fract_y
_atom_site_fract_z
Th1 Th 0.000 0.500 0.249
Mn1 Mn 0.000 0.000 0.500
Ga1 Ga 0.000 0.000 0.000
Ga2 Ga 0.000 0.500 0.632
Ga3 Ga 0.500 0.500 0.000
Pt1 Pt 0.000 0.500 0.863
Pt2 Pt 0.500 0.500 0.500
# DOS(E_F): 6.42 states/eV/cell
# crystal system: tetragonal
# E_form: -8.180 eV/f.u.
# raw total energy: -62.42 eV per cell

***

# NaSrCa2Au, optimized geometry, DFT PBE
data_NaSrCa2Au
_cell_length_a 5.803
_cell_length_b 5.803
_cell_length_c 5.851
_cell_angle_alpha 90.00
_cell_angle_beta 90.00
_cell_angle_gamma 90.00
_space_group_name_H-M_alt 'P 4/m m m'
_space_group_IT_number 123
_space_group_name_Hall '-P 4 2'
loop_
_atom_site_label
_atom_site_type_symbol
_atom_site_fract_x
_atom_site_fract_y
_atom_site_fract_z
Na1 Na 0.000 0.000 0.000
Sr1 Sr 0.500 0.500 0.000
Ca1 Ca 0.000 0.500 0.500
Au1 Au 0.000 0.000 0.500
# DOS(E_F): 3.23 states/eV/cell
# crystal system: tetragonal
# E_form: -1.161 eV/f.u.
# raw total energy: -11.44 eV per cell
# excess energy over the best structure of this formula in the dataset: 85 meV/atom

***

# Na2AlCd, optimized geometry, DFT PBE
data_Na2AlCd
_cell_length_a 4.335
_cell_length_b 4.335
_cell_length_c 5.131
_cell_angle_alpha 90.00
_cell_angle_beta 90.00
_cell_angle_gamma 90.00
_space_group_name_H-M_alt 'P 4/m m m'
_space_group_IT_number 123
_space_group_name_Hall '-P 4 2'
loop_
_atom_site_label
_atom_site_type_symbol
_atom_site_fract_x
_atom_site_fract_y
_atom_site_fract_z
Na1 Na 0.000 0.500 0.000
Al1 Al 0.000 0.000 0.500
Cd1 Cd 0.500 0.500 0.500
# DOS(E_F): 2.04 states/eV/cell
# crystal system: tetragonal
# E_form: 0.403 eV/f.u.
# raw total energy: -6.89 eV per cell

***

# HfSc2SnH, optimized geometry, DFT PBE
data_HfSc2SnH
_cell_length_a 5.547
_cell_length_b 5.547
_cell_length_c 3.561
_cell_angle_alpha 90.00
_cell_angle_beta 90.00
_cell_angle_gamma 90.00
_space_group_name_H-M_alt 'P 4/m m m'
_space_group_IT_number 123
_space_group_name_Hall '-P 4 2'
loop_
_atom_site_label
_atom_site_type_symbol
_atom_site_fract_x
_atom_site_fract_y
_atom_site_fract_z
Hf1 Hf 0.000 0.000 0.000
Sc1 Sc 0.000 0.500 0.000
Sn1 Sn 0.500 0.500 0.500
H1 H 0.000 0.000 0.500
# DOS(E_F): 6.04 states/eV/cell
# crystal system: tetragonal
# raw total energy: -28.09 eV per cell
# excess energy over the best structure of this formula in the dataset: 815 meV/atom